# EuHoCdRh GGA-PBE relaxed
# ΔE_f in eV per atom: -0.39
data_EuHoCdRh
_space_group_name_H-M_alt 'F -4 3 m'
_space_group_IT_number 216
_space_group_name_Hall 'F -4 2 3'
_cell_length_a 7.2467
_cell_length_b 7.2467
_cell_length_c 7.2467
_cell_angle_alpha 90.00
_cell_angle_beta 90.00
_cell_angle_gamma 90.00
loop_
_atom_site_label
_atom_site_type_symbol
_atom_site_fract_x
_atom_site_fract_y
_atom_site_fract_z
_atom_site_occupancy
Eu1 Eu 0.0000 0.0000 0.0000 1
Ho1 Ho 0.0000 0.0000 0.5000 1
Cd1 Cd 0.2500 0.2500 0.7500 1
Rh1 Rh 0.2500 0.2500 0.2500 1

***

# EuHoScCd GGA-PBE relaxed
# ΔE_f in eV per atom: 0.01
data_EuHoScCd
_space_group_name_H-M_alt 'F -4 3 m'
_space_group_IT_number 216
_space_group_name_Hall 'F -4 2 3'
_cell_length_a 7.6770
_cell_length_b 7.6770
_cell_length_c 7.6770
_cell_angle_alpha 90.00
_cell_angle_beta 90.00
_cell_angle_gamma 90.00
loop_
_atom_site_label
_atom_site_type_symbol
_atom_site_fract_x
_atom_site_fract_y
_atom_site_fract_z
_atom_site_occupancy
Eu1 Eu 0.0000 0.0000 0.0000 1
Ho1 Ho 0.0000 0.0000 0.5000 1
Sc1 Sc 0.2500 0.2500 0.2500 1
Cd1 Cd 0.2500 0.2500 0.7500 1

***

# EuHoCdSi GGA-PBE relaxed
# Formation energy without anion corrections in eV/atom: -0.35
data_EuHoCdSi
_space_group_name_H-M_alt 'F -4 3 m'
_space_group_IT_number 216
_space_group_name_Hall 'F -4 2 3'
_cell_length_a 7.3543
_cell_length_b 7.3543
_cell_length_c 7.3543
_cell_angle_alpha 90.00
_cell_angle_beta 90.00
_cell_angle_gamma 90.00
loop_
_atom_site_label
_atom_site_type_symbol
_atom_site_fract_x
_atom_site_fract_y
_atom_site_fract_z
_atom_site_occupancy
Eu1 Eu 0.0000 0.0000 0.0000 1
Ho1 Ho 0.0000 0.0000 0.5000 1
Cd1 Cd 0.2500 0.2500 0.2500 1
Si1 Si 0.2500 0.2500 0.7500 1

***

# EuHoTlCd GGA-PBE relaxed
# ΔE_f in eV per atom: -0.34
data_EuHoTlCd
_space_group_name_H-M_alt 'F -4 3 m'
_space_group_IT_number 216
_space_group_name_Hall 'F -4 2 3'
_cell_length_a 7.6985
_cell_length_b 7.6985
_cell_length_c 7.6985
_cell_angle_alpha 90.00
_cell_angle_beta 90.00
_cell_angle_gamma 90.00
loop_
_atom_site_label
_atom_site_type_symbol
_atom_site_fract_x
_atom_site_fract_y
_atom_site_fract_z
_atom_site_occupancy
Eu1 Eu 0.0000 0.0000 0.0000 1
Ho1 Ho 0.0000 0.0000 0.5000 1
Tl1 Tl 0.2500 0.2500 0.7500 1
Cd1 Cd 0.2500 0.2500 0.2500 1

***

# EuHoTmCd GGA-PBE relaxed
# ΔE_f in eV per atom: 0.00
data_EuHoTmCd
_space_group_name_H-M_alt 'F -4 3 m'
_space_group_IT_number 216
_space_group_name_Hall 'F -4 2 3'
_cell_length_a 7.7977
_cell_length_b 7.7977
_cell_length_c 7.7977
_cell_angle_alpha 90.00
_cell_angle_beta 90.00
_cell_angle_gamma 90.00
loop_
_atom_site_label
_atom_site_type_symbol
_atom_site_fract_x
_atom_site_fract_y
_atom_site_fract_z
_atom_site_occupancy
Eu1 Eu 0.0000 0.0000 0.0000 1
Ho1 Ho 0.0000 0.0000 0.5000 1
Tm1 Tm 0.2500 0.2500 0.7500 1
Cd1 Cd 0.2500 0.2500 0.2500 1

***

# EuYHoCd GGA-PBE relaxed
# ΔE_f in eV per atom: 0.00
data_EuYHoCd
_space_group_name_H-M_alt 'F -4 3 m'
_space_group_IT_number 216
_space_group_name_Hall 'F -4 2 3'
_cell_length_a 7.7922
_cell_length_b 7.7922
_cell_length_c 7.7922
_cell_angle_alpha 90.00
_cell_angle_beta 90.00
_cell_angle_gamma 90.00
loop_
_atom_site_label
_atom_site_type_symbol
_atom_site_fract_x
_atom_site_fract_y
_atom_site_fract_z
_atom_site_occupancy
Eu1 Eu 0.0000 0.0000 0.0000 1
Y1 Y 0.2500 0.2500 0.7500 1
Ho1 Ho 0.2500 0.2500 0.2500 1
Cd1 Cd 0.0000 0.0000 0.5000 1

***

# Eu3Cd5I12 GGA-PBE relaxed
# Formation energy without anion corrections in eV/atom: -0.78
data_Eu3Cd5I12
_space_group_name_H-M_alt 'I a -3 d'
_space_group_IT_number 230
_space_group_name_Hall '-I 4bd 2c 3'
_cell_length_a 19.1060
_cell_length_b 19.1060
_cell_length_c 19.1060
_cell_angle_alpha 90.00
_cell_angle_beta 90.00
_cell_angle_gamma 90.00
loop_
_atom_site_label
_atom_site_type_symbol
_atom_site_fract_x
_atom_site_fract_y
_atom_site_fract_z
_atom_site_occupancy
Eu1 Eu 0.0000 0.2500 0.1250 1
Cd1 Cd 0.0000 0.0000 0.0000 1
Cd2 Cd 0.0000 0.2500 0.3750 1
I1 I 0.0258 0.0671 0.6593 1

***

# EuCdIn2 GGA-PBE relaxed
# Relative energy among the computed polymorphs in eV per atom: 0.000
# ΔE_f in eV per atom: -0.32
data_EuCdIn2
_space_group_name_H-M_alt 'P 4/m m m'
_space_group_IT_number 123
_space_group_name_Hall '-P 4 2'
_cell_length_a 4.7932
_cell_length_b 4.7932
_cell_length_c 4.6365
_cell_angle_alpha 90.00
_cell_angle_beta 90.00
_cell_angle_gamma 90.00
loop_
_atom_site_label
_atom_site_type_symbol
_atom_site_fract_x
_atom_site_fract_y
_atom_site_fract_z
_atom_site_occupancy
Eu1 Eu 0.0000 0.0000 0.0000 1
Cd1 Cd 0.5000 0.5000 0.0000 1
In1 In 0.0000 0.5000 0.5000 1

***

# EuCdIn2 GGA-PBE relaxed
# Relative energy among the computed polymorphs in eV per atom: 0.075
# ΔE_f in eV per atom: -0.25
data_EuCdIn2
_space_group_name_H-M_alt 'P 4/m m m'
_space_group_IT_number 123
_space_group_name_Hall '-P 4 2'
_cell_length_a 3.7992
_cell_length_b 3.7992
_cell_length_c 7.5914
_cell_angle_alpha 90.00
_cell_angle_beta 90.00
_cell_angle_gamma 90.00
loop_
_atom_site_label
_atom_site_type_symbol
_atom_site_fract_x
_atom_site_fract_y
_atom_site_fract_z
_atom_site_occupancy
Eu1 Eu 0.0000 0.0000 0.0000 1
Cd1 Cd 0.0000 0.0000 0.5000 1
In1 In 0.5000 0.5000 0.2862 1

***

# EuCdIn GGA-PBE relaxed
# Relative energy among the computed polymorphs in eV per atom: 0.125
# ΔE_f in eV per atom: -0.29
data_EuCdIn
_space_group_name_H-M_alt 'I 4 m m'
_space_group_IT_number 107
_space_group_name_Hall 'I 4 -2'
_cell_length_a 3.8195
_cell_length_b 3.8195
_cell_length_c 11.7365
_cell_angle_alpha 90.00
_cell_angle_beta 90.00
_cell_angle_gamma 90.00
loop_
_atom_site_label
_atom_site_type_symbol
_atom_site_fract_x
_atom_site_fract_y
_atom_site_fract_z
_atom_site_occupancy
Eu1 Eu 0.0000 0.0000 0.0000 1
Cd1 Cd 0.0000 0.0000 0.6784 1
In1 In 0.0000 0.0000 0.3146 1

***

# EuCdIn GGA-PBE relaxed
# Relative energy among the computed polymorphs in eV per atom: 0.182
# ΔE_f in eV per atom: -0.23
data_EuCdIn
_space_group_name_H-M_alt 'F -4 3 m'
_space_group_IT_number 216
_space_group_name_Hall 'F -4 2 3'
_cell_length_a 7.2018
_cell_length_b 7.2018
_cell_length_c 7.2018
_cell_angle_alpha 90.00
_cell_angle_beta 90.00
_cell_angle_gamma 90.00
loop_
_atom_site_label
_atom_site_type_symbol
_atom_site_fract_x
_atom_site_fract_y
_atom_site_fract_z
_atom_site_occupancy
Eu1 Eu 0.0000 0.0000 0.0000 1
Cd1 Cd 0.2500 0.2500 0.7500 1
In1 In 0.0000 0.0000 0.5000 1

***

# EuCdIn GGA-PBE relaxed
# Relative energy among the computed polymorphs in eV per atom: 0.000
# ΔE_f in eV per atom: -0.42
data_EuCdIn
_space_group_name_H-M_alt 'P -6 m 2'
_space_group_IT_number 187
_space_group_name_Hall 'P -6 2'
_cell_length_a 5.1044
_cell_length_b 5.1044
_cell_length_c 3.6924
_cell_angle_alpha 90.00
_cell_angle_beta 90.00
_cell_angle_gamma 120.00
loop_
_atom_site_label
_atom_site_type_symbol
_atom_site_fract_x
_atom_site_fract_y
_atom_site_fract_z
_atom_site_occupancy
Eu1 Eu 0.0000 0.0000 0.0000 1
Cd1 Cd 0.6667 0.3333 0.5000 1
In1 In 0.3333 0.6667 0.5000 1

***

Total magnetization across the listed records, respectively: 1.726 1.774 1.848 1.810 1.761 1.789 1.069 1.825 1.806 2.378 2.356 2.388 μB/atom.
Theoretical density across the listed records, respectively: 9.29 6.96 7.64 9.23 8.38 7.28 4.84 7.70 7.49 7.36 6.74 7.56 g cm⁻³.
DFT total energy across the listed records, respectively: -6.166 -5.517 -5.643 -4.878 -5.061 -5.558 -3.478 -4.489 -4.414 -4.934 -4.878 -5.059 eV per atom.